Run i
A plane-wave DFT calculation with PBE was carried out for an optimized crystal structure of Sc2TlSe.

Values from the calculation:
Space-group type: R3m
Theoretical density: 6.7 g/cm³
Size of the total moment: 0.00 μB/f.u.
Crystal system: trigonal

Unit cell a=8.128 b=8.128 c=8.128 alpha=26.16 beta=26.16 gamma=26.16
Sites, in units of the cell vectors:
1 Sc 0.000 0.000 0.000
2 Sc 0.195 0.195 0.195
3 Tl 0.765 0.765 0.765
4 Se 0.597 0.597 0.597

=====

Run ii
A plane-wave DFT calculation with PBE was carried out for an optimized crystal structure of Sc2TlSe.

Values from the calculation:
Space-group type: F-43m
Theoretical density: 6.6 g/cm³
Size of the total moment: 2.40 μB/f.u.
Crystal system: cubic

Unit cell a=5.112 b=5.112 c=5.112 alpha=60.00 beta=60.00 gamma=60.00
Sites, in units of the cell vectors:
1 Sc 0.000 0.000 0.000
2 Sc 0.250 0.250 0.250
3 Tl 0.750 0.750 0.750
4 Se 0.500 0.500 0.500

=====

Which one sits at the bottom of the stability order? run ii does.

=====

Run i
A plane-wave DFT calculation with PBE was carried out for an optimized crystal structure of Sc2TlSe.

Values from the calculation:
Space-group type: Cmmm
Theoretical density: 7.1 g/cm³
Size of the total moment: 0.02 μB/f.u.
Crystal system: orthorhombic

Unit cell a=5.045 b=5.045 c=3.499 alpha=90.00 beta=90.00 gamma=100.83
Sites, in units of the cell vectors:
1 Sc 0.000 0.500 0.000
2 Sc 0.500 0.000 0.000
3 Tl 0.000 0.000 0.500
4 Se 0.500 0.500 0.500

=====

Run ii
A plane-wave DFT calculation with PBE was carried out for an optimized crystal structure of Sc2TlSe.

Values from the calculation:
Space-group type: Immm
Theoretical density: 6.7 g/cm³
Size of the total moment: 0.00 μB/f.u.
Crystal system: orthorhombic

Unit cell a=5.445 b=5.445 c=5.445 alpha=139.25 beta=115.98 gamma=78.72
Sites, in units of the cell vectors:
1 Sc 0.221 0.221 0.000
2 Sc 0.779 0.779 0.000
3 Tl 0.500 0.000 0.500
4 Se 0.000 0.500 0.500

=====

Run iii
A plane-wave DFT calculation with PBE was carried out for an optimized crystal structure of Sc2TlSe.

Values from the calculation:
Space-group type: P4/mmm
Theoretical density: 7.2 g/cm³
Size of the total moment: 1.09 μB/f.u.
Crystal system: tetragonal

Unit cell a=3.351 b=3.351 c=7.706 alpha=90.00 beta=90.00 gamma=90.00
Sites, in units of the cell vectors:
1 Sc 0.000 0.000 0.220
2 Sc 0.000 0.000 0.780
3 Tl 0.500 0.500 0.500
4 Se 0.500 0.500 0.000

=====

Run iv
A plane-wave DFT calculation with PBE was carried out for an optimized crystal structure of Sc2TlSe.

Values from the calculation:
Space-group type: R-3m
Theoretical density: 5.5 g/cm³
Size of the total moment: 0.00 μB/f.u.
Crystal system: trigonal

Unit cell a=9.478 b=9.478 c=9.478 alpha=22.81 beta=22.81 gamma=22.81
Sites, in units of the cell vectors:
1 Sc 0.088 0.088 0.088
2 Sc 0.912 0.912 0.912
3 Tl 0.500 0.500 0.500
4 Se 0.000 0.000 0.000

=====

Which one sits at the bottom of the stability order? run iv does.

=====

Run i
A plane-wave DFT calculation with PBE was carried out for an optimized crystal structure of ScTlSe4.

Values from the calculation:
Space-group type: F-43m
Theoretical density: 6.6 g/cm³
Size of the total moment: 0.45 μB/f.u.
Crystal system: cubic

Unit cell a=5.853 b=5.853 c=5.853 alpha=60.00 beta=60.00 gamma=60.00
Sites, in units of the cell vectors:
1 Sc 0.000 0.000 0.000
2 Tl 0.250 0.250 0.250
3 Se 0.122 0.626 0.626
4 Se 0.626 0.122 0.626
5 Se 0.626 0.626 0.122
6 Se 0.626 0.626 0.626

=====

Run ii
A plane-wave DFT calculation with PBE was carried out for an optimized crystal structure of ScTlSe4.

Values from the calculation:
Space-group type: C2/c
Theoretical density: 5.5 g/cm³
Size of the total moment: 0.00 μB/f.u.
Crystal system: monoclinic

Unit cell a=7.616 b=7.616 c=7.168 alpha=98.32 beta=98.32 gamma=120.06
Sites, in units of the cell vectors:
1 Sc 0.003 0.997 0.750
2 Sc 0.997 0.003 0.250
3 Tl 0.366 0.634 0.750
4 Tl 0.634 0.366 0.250
5 Se 0.107 0.775 0.486
6 Se 0.149 0.329 0.073
7 Se 0.225 0.893 0.014
8 Se 0.329 0.149 0.573
9 Se 0.671 0.851 0.427
10 Se 0.775 0.107 0.986
11 Se 0.851 0.671 0.927
12 Se 0.893 0.225 0.514

=====

Which one sits at the bottom of the stability order? run i does.

=====

Run i
A plane-wave DFT calculation with PBE was carried out for an optimized crystal structure of ScTlSe.

Values from the calculation:
Space-group type: I4mm
Theoretical density: 7.1 g/cm³
Size of the total moment: 0.00 μB/f.u.
Crystal system: tetragonal

Unit cell a=6.552 b=6.552 c=6.552 alpha=148.33 beta=148.33 gamma=45.40
Sites, in units of the cell vectors:
1 Sc 0.000 0.000 0.000
2 Tl 0.675 0.675 0.000
3 Se 0.418 0.418 0.000

=====

Run ii
A plane-wave DFT calculation with PBE was carried out for an optimized crystal structure of ScTlSe.

Values from the calculation:
Space-group type: F-43m
Theoretical density: 6.8 g/cm³
Size of the total moment: 0.00 μB/f.u.
Crystal system: cubic

Unit cell a=4.836 b=4.836 c=4.836 alpha=60.00 beta=60.00 gamma=60.00
Sites, in units of the cell vectors:
1 Sc 0.000 0.000 0.000
2 Tl 0.500 0.500 0.500
3 Se 0.750 0.750 0.750

=====

Which one sits at the bottom of the stability order? run ii does.

=====

Run i
A plane-wave DFT calculation with PBE was carried out for an optimized crystal structure of ScTlSe.

Values from the calculation:
Space-group type: P3m1
Theoretical density: 6.8 g/cm³
Size of the total moment: 0.00 μB/f.u.
Crystal system: trigonal

Unit cell a=3.810 b=3.810 c=6.402 alpha=90.00 beta=90.00 gamma=120.00
Sites, in units of the cell vectors:
1 Sc 0.000 0.000 0.000
2 Tl 0.333 0.667 0.652
3 Se 0.667 0.333 0.220

=====

Run ii
A plane-wave DFT calculation with PBE was carried out for an optimized crystal structure of ScTlSe.

Values from the calculation:
Space-group type: F-43m
Theoretical density: 6.8 g/cm³
Size of the total moment: 0.00 μB/f.u.
Crystal system: cubic

Unit cell a=4.836 b=4.836 c=4.836 alpha=60.00 beta=60.00 gamma=60.00
Sites, in units of the cell vectors:
1 Sc 0.000 0.000 0.000
2 Tl 0.750 0.750 0.750
3 Se 0.250 0.250 0.250

=====

Which one sits at the bottom of the stability order? run ii does.

=====

Run i
A plane-wave DFT calculation with PBE was carried out for an optimized crystal structure of ScTlSe.

Values from the calculation:
Space-group type: P-6m2
Theoretical density: 6.9 g/cm³
Size of the total moment: 0.00 μB/f.u.
Crystal system: hexagonal

Unit cell a=4.550 b=4.550 c=4.437 alpha=90.00 beta=90.00 gamma=120.00
Sites, in units of the cell vectors:
1 Sc 0.000 0.000 0.000
2 Tl 0.333 0.667 0.500
3 Se 0.667 0.333 0.000

=====

Run ii
A plane-wave DFT calculation with PBE was carried out for an optimized crystal structure of ScTlSe.

Values from the calculation:
Space-group type: P4/nmm
Theoretical density: 6.5 g/cm³
Size of the total moment: 0.00 μB/f.u.
Crystal system: tetragonal

Unit cell a=4.590 b=4.590 c=7.939 alpha=90.00 beta=90.00 gamma=90.00
Sites, in units of the cell vectors:
1 Sc 0.250 0.750 0.000
2 Sc 0.750 0.250 0.000
3 Tl 0.250 0.250 0.382
4 Tl 0.750 0.750 0.618
5 Se 0.250 0.250 0.830
6 Se 0.750 0.750 0.170

=====

Which one sits at the bottom of the stability order? run i does.

=====

Run i
A plane-wave DFT calculation with PBE was carried out for an optimized crystal structure of ScTl3Se.

Values from the calculation:
Space-group type: Pm-3m
Theoretical density: 6.6 g/cm³
Size of the total moment: 1.63 μB/f.u.
Crystal system: cubic

Unit cell a=5.689 b=5.689 c=5.689 alpha=90.00 beta=90.00 gamma=90.00
Sites, in units of the cell vectors:
1 Sc 0.000 0.000 0.000
2 Tl 0.000 0.000 0.500
3 Tl 0.000 0.500 0.000
4 Tl 0.500 0.000 0.000
5 Se 0.500 0.500 0.500

=====

Run ii
A plane-wave DFT calculation with PBE was carried out for an optimized crystal structure of ScTl3Se.

Values from the calculation:
Space-group type: Pm-3m
Theoretical density: 6.8 g/cm³
Size of the total moment: 0.75 μB/f.u.
Crystal system: cubic

Unit cell a=5.653 b=5.653 c=5.653 alpha=90.00 beta=90.00 gamma=90.00
Sites, in units of the cell vectors:
1 Sc 0.000 0.000 0.000
2 Tl 0.000 0.500 0.500
3 Tl 0.500 0.000 0.500
4 Tl 0.500 0.500 0.000
5 Se 0.500 0.500 0.500

=====

Which one sits at the bottom of the stability order? run ii does.

=====

Run i
A plane-wave DFT calculation with PBE was carried out for an optimized crystal structure of ScTl2VSe.

Values from the calculation:
Space-group type: P4/mmm
Theoretical density: 6.7 g/cm³
Size of the total moment: 1.31 μB/f.u.
Crystal system: tetragonal

Unit cell a=5.595 b=5.595 c=4.599 alpha=90.00 beta=90.00 gamma=90.00
Sites, in units of the cell vectors:
1 Sc 0.000 0.000 0.000
2 Tl 0.000 0.500 0.000
3 Tl 0.500 0.000 0.000
4 V 0.000 0.000 0.500
5 Se 0.500 0.500 0.500

=====

Run ii
A plane-wave DFT calculation with PBE was carried out for an optimized crystal structure of ScTl2VSe.

Values from the calculation:
Space-group type: P4/mmm
Theoretical density: 6.3 g/cm³
Size of the total moment: 3.45 μB/f.u.
Crystal system: tetragonal

Unit cell a=5.785 b=5.785 c=4.577 alpha=90.00 beta=90.00 gamma=90.00
Sites, in units of the cell vectors:
1 Sc 0.000 0.000 0.000
2 Tl 0.000 0.500 0.500
3 Tl 0.500 0.000 0.500
4 V 0.500 0.500 0.000
5 Se 0.500 0.500 0.500

=====

Which one sits at the bottom of the stability order? run i does.

=====

Run i
A plane-wave DFT calculation with PBE was carried out for an optimized crystal structure of Tm3Sc2Se6.

Values from the calculation:
Space-group type: R-3m
Theoretical density: 6.6 g/cm³
Size of the total moment: 0.00 μB/f.u.
Crystal system: trigonal

Unit cell a=19.965 b=19.965 c=19.965 alpha=11.36 beta=11.36 gamma=11.36
Sites, in units of the cell vectors:
1 Tm 0.000 0.000 0.000
2 Tm 0.278 0.278 0.278
3 Tm 0.722 0.722 0.722
4 Sc 0.448 0.448 0.448
5 Sc 0.552 0.552 0.552
6 Se 0.085 0.085 0.085
7 Se 0.197 0.197 0.197
8 Se 0.361 0.361 0.361
9 Se 0.639 0.639 0.639
10 Se 0.803 0.803 0.803
11 Se 0.915 0.915 0.915

=====

Run ii
A plane-wave DFT calculation with PBE was carried out for an optimized crystal structure of Tm3Sc2Se6.

Values from the calculation:
Space-group type: C2/m
Theoretical density: 6.9 g/cm³
Size of the total moment: 0.00 μB/f.u.
Crystal system: monoclinic

Unit cell a=6.848 b=6.848 c=6.762 alpha=99.76 beta=99.76 gamma=119.78
Sites, in units of the cell vectors:
1 Tm 0.000 0.000 0.000
2 Tm 0.335 0.665 0.000
3 Tm 0.665 0.335 0.000
4 Sc 0.164 0.836 0.500
5 Sc 0.836 0.164 0.500
6 Se 0.089 0.421 0.261
7 Se 0.249 0.249 0.736
8 Se 0.421 0.089 0.261
9 Se 0.579 0.911 0.739
10 Se 0.751 0.751 0.264
11 Se 0.911 0.579 0.739

=====

Which one sits at the bottom of the stability order? run i does.

=====

Run i
A plane-wave DFT calculation with PBE was carried out for an optimized crystal structure of TmScSe2.

Values from the calculation:
Space-group type: R3m
Theoretical density: 7.1 g/cm³
Size of the total moment: 0.00 μB/f.u.
Crystal system: trigonal

Unit cell a=7.211 b=7.211 c=7.211 alpha=30.87 beta=30.87 gamma=30.87
Sites, in units of the cell vectors:
1 Tm 0.000 0.000 0.000
2 Sc 0.176 0.176 0.176
3 Se 0.582 0.582 0.582
4 Se 0.758 0.758 0.758

=====

Run ii
A plane-wave DFT calculation with PBE was carried out for an optimized crystal structure of TmScSe2.

Values from the calculation:
Space-group type: Pmn2_1
Theoretical density: 5.5 g/cm³
Size of the total moment: 0.00 μB/f.u.
Crystal system: orthorhombic

Unit cell a=4.092 b=8.822 c=6.238 alpha=90.00 beta=90.00 gamma=90.00
Sites, in units of the cell vectors:
1 Tm 0.000 0.093 0.000
2 Tm 0.500 0.907 0.500
3 Sc 0.000 0.660 0.868
4 Sc 0.500 0.340 0.368
5 Se 0.000 0.407 0.124
6 Se 0.000 0.825 0.215
7 Se 0.500 0.175 0.715
8 Se 0.500 0.593 0.624

=====

Run iii
A plane-wave DFT calculation with PBE was carried out for an optimized crystal structure of TmScSe2.

Values from the calculation:
Space-group type: R-3m
Theoretical density: 7.1 g/cm³
Size of the total moment: 0.00 μB/f.u.
Crystal system: trigonal

Unit cell a=6.801 b=6.801 c=6.801 alpha=33.85 beta=33.85 gamma=33.85
Sites, in units of the cell vectors:
1 Tm 0.000 0.000 0.000
2 Sc 0.500 0.500 0.500
3 Se 0.247 0.247 0.247
4 Se 0.753 0.753 0.753

=====

Which one sits at the bottom of the stability order? run ii does.

=====

Run i
A plane-wave DFT calculation with PBE was carried out for an optimized crystal structure of Tm2ScSe.

Values from the calculation:
Space-group type: R-3m
Theoretical density: 6.9 g/cm³
Size of the total moment: 0.80 μB/f.u.
Crystal system: trigonal

Unit cell a=10.143 b=10.143 c=10.143 alpha=20.48 beta=20.48 gamma=20.48
Sites, in units of the cell vectors:
1 Tm 0.105 0.105 0.105
2 Tm 0.895 0.895 0.895
3 Sc 0.000 0.000 0.000
4 Se 0.500 0.500 0.500

=====

Run ii
A plane-wave DFT calculation with PBE was carried out for an optimized crystal structure of Tm2ScSe.

Values from the calculation:
Space-group type: P4/mmm
Theoretical density: 7.7 g/cm³
Size of the total moment: 0.00 μB/f.u.
Crystal system: tetragonal

Unit cell a=3.522 b=3.522 c=8.063 alpha=90.00 beta=90.00 gamma=90.00
Sites, in units of the cell vectors:
1 Tm 0.000 0.000 0.219
2 Tm 0.000 0.000 0.781
3 Sc 0.500 0.500 0.500
4 Se 0.500 0.500 0.000

=====

Which one sits at the bottom of the stability order? run i does.

=====

Run i
A plane-wave DFT calculation with PBE was carried out for an optimized crystal structure of TmSc2Se4.

Values from the calculation:
Space-group type: Cmcm
Theoretical density: 5.9 g/cm³
Size of the total moment: 0.00 μB/f.u.
Crystal system: orthorhombic

Unit cell a=6.654 b=6.654 c=13.338 alpha=90.00 beta=90.00 gamma=146.55
Sites, in units of the cell vectors:
1 Tm 0.125 0.875 0.750
2 Tm 0.875 0.125 0.250
3 Sc 0.372 0.628 0.566
4 Sc 0.372 0.628 0.934
5 Sc 0.628 0.372 0.066
6 Sc 0.628 0.372 0.434
7 Se 0.000 0.000 0.000
8 Se 0.000 0.000 0.500
9 Se 0.275 0.725 0.119
10 Se 0.275 0.725 0.381
11 Se 0.462 0.538 0.750
12 Se 0.538 0.462 0.250
13 Se 0.725 0.275 0.619
14 Se 0.725 0.275 0.881

=====

Run ii
A plane-wave DFT calculation with PBE was carried out for an optimized crystal structure of TmSc2Se4.

Values from the calculation:
Space-group type: P4_122
Theoretical density: 5.7 g/cm³
Size of the total moment: 0.00 μB/f.u.
Crystal system: tetragonal

Unit cell a=8.687 b=8.687 c=8.881 alpha=90.00 beta=90.00 gamma=90.00
Sites, in units of the cell vectors:
1 Tm 0.000 0.262 0.000
2 Tm 0.000 0.738 0.500
3 Tm 0.262 0.000 0.750
4 Tm 0.738 0.000 0.250
5 Sc 0.243 0.243 0.375
6 Sc 0.243 0.757 0.125
7 Sc 0.261 0.500 0.750
8 Sc 0.500 0.261 0.000
9 Sc 0.500 0.739 0.500
10 Sc 0.739 0.500 0.250
11 Sc 0.757 0.243 0.625
12 Sc 0.757 0.757 0.875
13 Se 0.058 0.254 0.691
14 Se 0.058 0.746 0.809
15 Se 0.254 0.058 0.059
16 Se 0.254 0.942 0.441
17 Se 0.255 0.458 0.051
18 Se 0.255 0.542 0.449
19 Se 0.458 0.255 0.699
20 Se 0.458 0.745 0.801
21 Se 0.542 0.255 0.301
22 Se 0.542 0.745 0.199
23 Se 0.745 0.458 0.949
24 Se 0.745 0.542 0.551
25 Se 0.746 0.058 0.941
26 Se 0.746 0.942 0.559
27 Se 0.942 0.254 0.309
28 Se 0.942 0.746 0.191

=====

Which one sits at the bottom of the stability order? run ii does.